Tl3Mo2PbO8 | PBE+U | relaxed

POSCAR file:
```
Tl3Mo2PbO8
1.0
6.3078 0.0000 0.0000
-3.1539 5.4627 0.0000
0.0000 0.0000 8.1017
Mo O Pb Tl
2 8 1 3
Direct
0.6667 0.3333 0.7977 Mo
0.3333 0.6667 0.2023 Mo
0.8231 0.6462 0.7186 O
0.3333 0.6667 0.9808 O
0.3538 0.1769 0.7186 O
0.8231 0.1769 0.7186 O
0.6462 0.8231 0.2814 O
0.1769 0.8231 0.2814 O
0.1769 0.3538 0.2814 O
0.6667 0.3333 0.0192 O
0.0000 0.0000 0.5000 Pb
0.3333 0.6667 0.6707 Tl
0.6667 0.3333 0.3293 Tl
0.0000 0.0000 0.0000 Tl
```

Output
Final energy (eV/cell): -82.2
SG: P-3m1 (164)